Compound: LaPmO2
Source: Alexandria
Functional: PBE
Structure: relaxed

Calculated values
The value obtained for the total energy is -7.716 eV per atom. Its formation energy from raw total energies is -2.8172 eV/atom. Its relative energy among the computed polymorphs is 0 meV per atom.

Structure (CIF):
```
data_LaPmO2
_cell_length_a 6.219
_cell_length_b 3.575
_cell_length_c 6.243
_cell_angle_alpha 90.00
_cell_angle_beta 109.28
_cell_angle_gamma 90.00
_symmetry_space_group_name_H-M 'C 1 2/m 1'
_symmetry_Int_Tables_number 12
_symmetry_space_group_name_Hall '-C 2y'
loop_
_atom_site_label
_atom_site_type_symbol
_atom_site_fract_x
_atom_site_fract_y
_atom_site_fract_z
La1 La 0.000 0.000 0.000
Pm1 Pm 0.000 0.500 0.500
O1 O 0.243 0.000 0.729
```

Compound: La2PmO
Source: Alexandria
Functional: PBE
Structure: relaxed

Calculated values
The value obtained for the total energy is -6.154 eV per atom. Its formation energy from raw total energies is -1.2630 eV/atom.

Structure (CIF):
```
data_La2PmO
_cell_length_a 3.7454
_cell_length_b 3.7454
_cell_length_c 27.6801
_cell_angle_alpha 90.00
_cell_angle_beta 90.00
_cell_angle_gamma 120.00
_symmetry_space_group_name_H-M 'R -3 m'
_symmetry_Int_Tables_number 166
_symmetry_space_group_name_Hall '-R 3 2"'
loop_
_atom_site_label
_atom_site_type_symbol
_atom_site_fract_x
_atom_site_fract_y
_atom_site_fract_z
La1 La 0.0000 0.0000 0.2185
Pm1 Pm 0.0000 0.0000 0.0000
O1 O 0.0000 0.0000 0.5000
```